HgSBr4: optimized geometry, PBE.

Computed properties:
Formation energy without anion corrections = -0.1570 eV/atom
Electronic total energy = -24.13 eV per cell

The structure in POSCAR format:
```
HgSBr4
1.0
4.7976 -8.2889 0.0000
4.7976 8.2889 0.0000
-4.5552 0.0000 6.0760
Hg S Br
2 2 8
Direct
0.0472 0.9528 0.7500
0.9528 0.0472 0.2500
0.3866 0.6134 0.2500
0.6134 0.3866 0.7500
0.1459 0.5363 0.2921
0.1526 0.2817 0.6567
0.2817 0.1526 0.1567
0.4637 0.8541 0.2079
0.5363 0.1459 0.7921
0.7183 0.8474 0.8433
0.8474 0.7183 0.3433
0.8541 0.4637 0.7079
```